# 1
## NaAg (PBE)

Data for a relaxed NaAg crystal.

Results
Formation energy from the elements: 13 meV/atom
SG: P2_1/m (11)

Unit cell a=3.005 b=5.437 c=5.920 alpha=103.58 beta=90.00 gamma=90.00
Fractional coordinates of all 4 atoms:
Na 0.250 0.689 0.297
Na 0.750 0.311 0.703
Ag 0.250 0.836 0.823
Ag 0.750 0.164 0.177

# 2
## Hf3HN (PBE)

Data for a relaxed Hf3HN crystal.

Results
SG: Pm-3m (221)
E_tot: -8.297 eV per atom

Unit cell a=4.355 b=4.355 c=4.355 alpha=90.00 beta=90.00 gamma=90.00
Fractional coordinates of all 5 atoms:
H 0.500 0.500 0.500
Hf 0.000 0.500 0.000
Hf 0.000 0.000 0.500
Hf 0.500 0.000 0.000
N 0.000 0.000 0.000

# 3
## CaAl2ZnAg2 (PBE)

Data for a relaxed CaAl2ZnAg2 crystal.

Results
Formation energy from the elements: -147 meV/atom
SG: P-3m1 (164)

Unit cell a=4.479 b=4.479 c=6.957 alpha=90.00 beta=90.00 gamma=120.00
Fractional coordinates of all 6 atoms:
Ca 0.000 0.000 0.000
Al 0.333 0.667 0.707
Al 0.667 0.333 0.293
Zn 0.000 0.000 0.500
Ag 0.333 0.667 0.301
Ag 0.667 0.333 0.699

# 4
## Nd3TlCl3 (PBE)

Data for a relaxed Nd3TlCl3 crystal.

Results
SG: C2/m (12)
E_tot: -4.535 eV per atom

Unit cell a=3.849 b=8.575 c=12.718 alpha=88.92 beta=81.30 gamma=77.03
Each line ends with the local moment (μB).
Fractional coordinates of all 14 atoms:
Nd 0.097 0.277 0.528  0.19
Nd 0.903 0.723 0.472  0.19
Nd 0.293 0.182 0.231  0.05
Nd 0.707 0.818 0.769  0.05
Nd 0.885 0.384 0.845  0.08
Nd 0.115 0.616 0.155  0.08
Tl 0.397 0.543 0.662  -0.01
Tl 0.603 0.457 0.338  -0.01
Cl 0.320 0.963 0.397  0.00
Cl 0.680 0.037 0.603  0.00
Cl 0.326 0.326 0.023  0.00
Cl 0.674 0.674 0.977  0.00
Cl 0.948 0.955 0.150  0.00
Cl 0.052 0.045 0.850  0.00

# 5
## Ce4Pm3Ga4 (PBE)

Data for a relaxed Ce4Pm3Ga4 crystal.

Results
Formation energy from the elements: -361 meV/atom
SG: Immm (71)

Unit cell a=3.597 b=8.806 c=10.461 alpha=114.89 beta=99.90 gamma=90.00
Each line ends with the local moment (μB).
Fractional coordinates of all 11 atoms:
Ce 0.333 0.172 0.666  0.48
Ce 0.667 0.506 0.334  0.48
Ce 0.667 0.828 0.334  0.48
Ce 0.333 0.494 0.666  0.48
Pm 0.095 0.095 0.190  -0.02
Pm 0.905 0.905 0.810  -0.02
Pm 0.000 0.500 0.000  -0.05
Ga 0.277 0.777 0.554  -0.02
Ga 0.723 0.223 0.446  -0.02
Ga 0.500 0.780 0.000  -0.01
Ga 0.500 0.220 0.000  -0.01